1.
The following is a PBE calculation of a geometry-optimized Ni2RhW structure, from Alexandria.

Cell and atoms, written as POSCAR:
```
Ni2RhW
1.0
2.6944 0.0000 0.0000
0.0000 2.6944 0.0000
0.0000 0.0000 7.2208
Ni Rh W
2 1 1
Direct
0.0000 0.0000 0.2494
0.0000 0.0000 0.7506
0.5000 0.5000 0.5000
0.5000 0.5000 0.0000
```

## Properties
For the energy of formation, the calculation gives 23 kJ/mol of formula units. The density of states at the Fermi level comes out at 7.3 states/eV/f.u. For the energy relative to the lowest polymorph listed for this composition, the calculation gives 0.214 eV per atom.


2.
The following is a PBE calculation of a geometry-optimized La2Dy5Ho structure, from Alexandria.

Cell and atoms, written as POSCAR:
```
La2Dy5Ho
1.0
7.1797 0.0000 0.0000
0.0000 14.3608 0.0000
0.0000 0.0000 5.0913
La Dy Ho
4 10 2
Direct
0.2489 0.1248 0.0000
0.2511 0.6248 0.0000
0.7489 0.3752 0.0000
0.7511 0.8752 0.0000
0.0000 0.5000 0.5000
0.0016 0.7501 0.5000
0.2486 0.3749 0.0000
0.2514 0.8749 0.0000
0.4984 0.2501 0.5000
0.5000 0.0000 0.5000
0.5016 0.7499 0.5000
0.7486 0.1251 0.0000
0.7514 0.6251 0.0000
0.9984 0.2499 0.5000
0.0000 0.0000 0.5000
0.5000 0.5000 0.5000
```

## Properties
For the energy of formation, the calculation gives 24 kJ/mol of formula units. The density of states at the Fermi level comes out at 12.8 states/eV/f.u.


3.
The following is a PBE calculation of a geometry-optimized Os3BrO structure, from Alexandria.

Cell and atoms, written as POSCAR:
```
Os3BrO
1.0
4.1846 0.0000 0.0000
0.0000 4.1846 0.0000
0.0000 0.0000 4.1846
Os Br O
3 1 1
Direct
0.0000 0.0000 0.5000
0.0000 0.5000 0.0000
0.5000 0.0000 0.0000
0.5000 0.5000 0.5000
0.0000 0.0000 0.0000
```

## Properties
The value obtained for the formation energy from raw total energies is 1751.6 meV/atom. The density of states at the Fermi level comes out at 6.0 states/eV/f.u. For the energy relative to the lowest polymorph listed for this composition, the calculation gives 0.000 eV per atom.


4.
The following is a PBE calculation of a geometry-optimized Mo2Pd3Rh2 structure, from Alexandria.

Cell and atoms, written as POSCAR:
```
Mo2Pd3Rh2
1.0
2.1206 -9.5602 0.0000
2.1206 9.5602 0.0000
0.0000 0.0000 2.6988
Mo Pd Rh
2 3 2
Direct
0.0747 0.9253 0.0000
0.9253 0.0747 0.0000
0.2122 0.7878 0.5000
0.5000 0.5000 0.5000
0.7878 0.2122 0.5000
0.3652 0.6348 0.5000
0.6348 0.3652 0.5000
```

## Properties
For the energy of formation, the calculation gives 96 kJ/mol of formula units. The density of states at the Fermi level comes out at 7.0 states/eV/f.u.